Here is a PBEsol-optimized structure of Na2TaAgPd from the Alexandria database. Energies are from meta-GGA SCAN.

```
data_Na2TaAgPd
_chemical_formula_sum 'Na2 Ta1 Ag1 Pd1'
_space_group_name_H-M_alt 'P 4/m m m'
_space_group_IT_number 123
_space_group_name_Hall '-P 4 2'
_cell_length_a 4.782
_cell_length_b 4.782
_cell_length_c 5.069
_cell_angle_alpha 90.00
_cell_angle_beta 90.00
_cell_angle_gamma 90.00
loop_
_atom_site_label
_atom_site_type_symbol
_atom_site_fract_x
_atom_site_fract_y
_atom_site_fract_z
Na1 Na 0.000 0.500 0.000
Ta1 Ta 0.000 0.000 0.500
Ag1 Ag 0.500 0.500 0.000
Pd1 Pd 0.500 0.500 0.500
```

## Properties
The calculation puts the spin magnetization at 3.35 Bohr magnetons per cell. For the uncorrected energy, the calculation gives -26.490 eV per atom.